The following is a PBE-GGA calculation of a relaxed Ba2LiMnIr crystal, from the Alexandria database.

It has space group P4/mmm (No. 123), with a = 5.815 Å, b = 5.815 Å, c = 4.320 Å, α = 90.00°, β = 90.00° and γ = 90.00°. The distinct sites, in fractional coordinates, are Ba at (0.000, 0.500, 0.000), Li at (0.000, 0.000, 0.000), Mn at (0.500, 0.500, 0.500) and Ir at (0.000, 0.000, 0.500).

For the energy of formation from the pure elements, the calculation gives 1.10 eV/atom. Its density of states at the Fermi level is 11.487 states/eV per cell.

The following is a PBE-GGA calculation of a relaxed Li2ZnMo crystal, from the Alexandria database.

It has space group R-3m (No. 166, hexagonal axes), with a = 2.6903 Å, b = 2.6903 Å, c = 29.0897 Å, α = 90.00°, β = 90.00° and γ = 120.00°. The distinct sites, in fractional coordinates, are Li at (0.0000, 0.0000, 0.2485), Zn at (0.0000, 0.0000, 0.5000) and Mo at (0.0000, 0.0000, 0.0000).

For the energy of formation from the pure elements, the calculation gives 0.17 eV/atom. Its density of states at the Fermi level is 9.663 states/eV per cell.

The following is a PBE-GGA calculation of a relaxed FeNiP crystal, from the Alexandria database.

It has space group I4mm (No. 107), with a = 3.148 Å, b = 3.148 Å, c = 6.977 Å, α = 90.00°, β = 90.00° and γ = 90.00°. The distinct sites, in fractional coordinates, are Fe at (0.000, 0.000, 0.000), Ni at (0.000, 0.000, 0.661) and P at (0.000, 0.000, 0.333).

For the energy of formation from the pure elements, the calculation gives -0.11 eV/atom. Its density of states at the Fermi level is 5.046 states/eV per cell.

The following is a PBE-GGA calculation of a relaxed ScAgRu2 crystal, from the Alexandria database.

It has space group Pmmm (No. 47), with a = 2.891 Å, b = 4.106 Å, c = 5.589 Å, α = 90.00°, β = 90.00° and γ = 90.00°. The distinct sites, in fractional coordinates, are Sc at (0.000, 0.000, 0.000), Ag at (0.000, 0.000, 0.500) and Ru at (0.500, 0.500, 0.223).

The energy above the lowest structure with this stoichiometry comes out at 0.62 eV/f.u. For the energy of formation from the pure elements, the calculation gives 0.18 eV/atom. Its density of states at the Fermi level is 4.121 states/eV per cell.

The following is a PBE-GGA calculation of a relaxed Cs2HoReO6 crystal, from the Alexandria database.

It has space group P-3m1 (No. 164), with a = 6.7151 Å, b = 6.7151 Å, c = 5.7601 Å, α = 90.00°, β = 90.00° and γ = 120.00°. The distinct sites, in fractional coordinates, are Cs at (0.3333, 0.6667, 0.3574), Ho at (0.0000, 0.0000, 0.0000), Re at (0.0000, 0.0000, 0.5000) and O at (0.1299, 0.2597, 0.7043).

Its density of states at the Fermi level is 0.000 states/eV per cell. The formation energy without anion corrections is -20.6 eV/f.u.

The following is a PBE-GGA calculation of a relaxed Rb5Na4 crystal, from the Alexandria database.

It has space group C2/m (No. 12), with a = 14.956 Å, b = 6.484 Å, c = 13.586 Å, α = 90.00°, β = 113.46° and γ = 90.00°. The distinct sites, in fractional coordinates, are Rb at (0.000, 0.000, 0.000), Rb at (0.108, 0.000, 0.398), Rb at (0.247, 0.000, 0.830), Na at (0.044, 0.500, 0.830) and Na at (0.112, 0.500, 0.611).

For the energy of formation from the pure elements, the calculation gives 0.04 eV/atom. Its density of states at the Fermi level is 12.640 states/eV per cell.

The following is a PBE-GGA calculation of a relaxed Cs2CdSnS4 crystal, from the Alexandria database.

It has space group I-4 (No. 82), with a = 7.709 Å, b = 7.709 Å, c = 9.072 Å, α = 90.00°, β = 90.00° and γ = 90.00°. The distinct sites, in fractional coordinates, are Cs at (0.000, 0.000, 0.000), Cs at (0.000, 0.500, 0.250), Cd at (0.000, 0.000, 0.500), Sn at (0.000, 0.500, 0.750) and S at (0.145, 0.269, 0.615).

Its density of states at the Fermi level is 0.000 states/eV per cell. The formation energy without anion corrections is -6.9 eV/f.u.

The following is a PBE-GGA calculation of a relaxed PrSnCl2 crystal, from the Alexandria database.

It has space group R-3m (No. 166, hexagonal axes), with a = 3.6810 Å, b = 3.6810 Å, c = 31.2114 Å, α = 90.00°, β = 90.00° and γ = 120.00°. The distinct sites, in fractional coordinates, are Pr at (0.0000, 0.0000, 0.0000), Sn at (0.0000, 0.0000, 0.5000) and Cl at (0.0000, 0.0000, 0.0860).

Its density of states at the Fermi level is 5.426 states/eV per cell. The formation energy without anion corrections is -3.2 eV/f.u.

The following is a PBE-GGA calculation of a relaxed HfScAu crystal, from the Alexandria database.

It has space group P1 (No. 1), with a = 4.537 Å, b = 5.025 Å, c = 6.126 Å, α = 89.77°, β = 89.97° and γ = 63.33°. The distinct sites, in fractional coordinates, are Hf at (0.000, 0.000, 0.000), Hf at (0.319, 0.361, 0.243), Sc at (0.000, 0.000, 0.498), Sc at (0.686, 0.628, 0.747), Au at (0.361, 0.278, 0.753) and Au at (0.646, 0.709, 0.247).

The energy above the lowest structure with this stoichiometry comes out at 0.28 eV/f.u. For the energy of formation from the pure elements, the calculation gives -0.38 eV/atom. Its density of states at the Fermi level is 6.600 states/eV per cell.

The following is a PBE-GGA calculation of a relaxed AgHgAu2F8 crystal, from the Alexandria database.

It has space group I-4 (No. 82), with a = 5.880 Å, b = 5.880 Å, c = 11.053 Å, α = 90.00°, β = 90.00° and γ = 90.00°. The distinct sites, in fractional coordinates, are Ag at (0.000, 0.000, 0.000), Hg at (0.000, 0.500, 0.250), Au at (0.000, 0.000, 0.500), Au at (0.000, 0.500, 0.750), F at (0.148, 0.306, 0.493) and F at (0.166, 0.816, 0.761).

Its density of states at the Fermi level is 5.598 states/eV per cell. The formation energy without anion corrections is -12.7 eV/f.u.

The following is a PBE-GGA calculation of a relaxed NaSr2HgRh crystal, from the Alexandria database.

It has space group P4/mmm (No. 123), with a = 5.734 Å, b = 5.734 Å, c = 5.407 Å, α = 90.00°, β = 90.00° and γ = 90.00°. The distinct sites, in fractional coordinates, are Na at (0.000, 0.000, 0.000), Sr at (0.000, 0.500, 0.500), Hg at (0.500, 0.500, 0.000) and Rh at (0.500, 0.500, 0.500).

For the energy of formation from the pure elements, the calculation gives -0.17 eV/atom. Its density of states at the Fermi level is 4.181 states/eV per cell.

The following is a PBE-GGA calculation of a relaxed Cr2Cu4Pt crystal, from the Alexandria database.

It has space group I4/mmm (No. 139), with a = 4.614 Å, b = 4.614 Å, c = 12.827 Å, α = 90.00°, β = 90.00° and γ = 90.00°. The distinct sites, in fractional coordinates, are Cr at (0.000, 0.000, 0.113), Cu at (0.000, 0.000, 0.308), Cu at (0.000, 0.500, 0.000) and Pt at (0.000, 0.000, 0.500).

For the energy of formation from the pure elements, the calculation gives 0.98 eV/atom. Its density of states at the Fermi level is 9.508 states/eV per cell.